VFe2MoCl after structural relaxation. Source: Alexandria via LeMat-Bulk, functional PBE.

Results
**D(E_F)**: 1.3307 states/eV/atom
**Formation energy from raw total energies**: 1.33 eV per atom
**Energy**: -6.414 eV/atom
**Calculated volume**: 79.9 Å³/cell

Lattice parameters (Å, degrees): 4.279 4.364 4.279 90.00 90.00 90.00
Last column: magnetic moment on the atom in μB.
Positions (direct):
Cl  0.000  0.500  0.000  0.02
Mo  0.500  0.500  0.500  1.37
V  0.000  0.000  0.000  -0.94
Fe  0.000  0.000  0.500  1.83
Fe  0.500  0.000  0.000  1.72